# 1
## Sb2IrOs (PBE-GGA)

Data for Sb2IrOs after structural relaxation.

Cell: 3.183 3.183 7.145 Å, 90.00 90.00 89.98°
Sites, in units of the cell vectors:
Ir 0.500 0.500 0.250
Os 0.500 0.500 0.750
Sb 0.000 0.000 0.996
Sb 0.000 0.000 0.504

## Properties
Density of states at the Fermi level: 3.47 states/eV per cell
Raw total energy: -6.595 eV per atom
Energy above the lowest structure with this stoichiometry: 256 meV per atom
Space-group type: P4/mmm, No. 123

---

# 2
## RbTlRe3 (PBE-GGA)

Data for RbTlRe3 after structural relaxation.

Cell: 4.805 4.805 4.805 Å, 90.00 90.00 90.00°
Each line ends with the local moment (μB).
Sites, in units of the cell vectors:
Re 0.000 0.500 0.000  0.91
Re 0.000 0.000 0.500  0.97
Re 0.500 0.000 0.000  0.93
Tl 0.500 0.500 0.500  0.00
Rb 0.000 0.000 0.000  0.04

## Properties
E_form: 4030 meV per atom
Density of states at the Fermi level: 6.83 states/eV per cell
Raw total energy: -4.106 eV per atom
Energy above the lowest structure with this stoichiometry: 796 meV per atom
Space-group type: Pm-3m, No. 221

---

# 3
## Ac4EuLu (PBE-GGA)

Data for Ac4EuLu after structural relaxation.

Cell: 7.253 7.253 7.253 Å, 60.00 60.00 60.00°
Each line ends with the local moment (μB).
Sites, in units of the cell vectors:
Eu 0.250 0.250 0.250  6.93
Ac 0.626 0.626 0.121  0.01
Ac 0.626 0.121 0.626  0.01
Ac 0.626 0.626 0.626  0.01
Ac 0.121 0.626 0.626  0.01
Lu 0.000 0.000 0.000  -0.08

## Properties
E_form: 325 meV per atom
Density of states at the Fermi level: 16.22 states/eV per cell
Raw total energy: -4.880 eV per atom
Space-group type: F-43m, No. 216

---

# 4
## CeHf4Ge4 (PBE-GGA)

Data for CeHf4Ge4 after structural relaxation.

Cell: 5.311 8.908 8.908 Å, 90.00 90.00 90.00°
Each line ends with the local moment (μB).
Sites, in units of the cell vectors:
Ce 0.000 0.000 0.000  0.91
Ce 0.500 0.500 0.500  0.91
Hf 0.394 0.365 0.885  0.01
Hf 0.894 0.615 0.865  0.01
Hf 0.394 0.635 0.115  0.01
Hf 0.106 0.135 0.615  0.01
Hf 0.606 0.885 0.635  0.01
Hf 0.106 0.865 0.385  0.01
Hf 0.894 0.385 0.135  0.01
Hf 0.606 0.115 0.365  0.01
Ge 0.594 0.808 0.344  0.00
Ge 0.594 0.192 0.656  0.00
Ge 0.094 0.844 0.692  0.00
Ge 0.906 0.308 0.844  0.00
Ge 0.906 0.692 0.156  0.00
Ge 0.406 0.344 0.192  0.00
Ge 0.406 0.656 0.808  0.00
Ge 0.094 0.156 0.308  0.00

## Properties
E_form: -421 meV per atom
Density of states at the Fermi level: 21.39 states/eV per cell
Raw total energy: -7.556 eV per atom
Space-group type: P4_2/n, No. 86

---

Computed ρ, in the same sequence as the records: 14.4 12.7 7.6 9.0 g/cm³.